# 1
VASP calculation (PBEsol) on an optimized crystal structure of FeCu2Sb.

Geometry as POSCAR:
```
FeCu2Sb
1.0
-2.560 0.072 -1.723
-1.241 -2.868 1.724
-2.279 3.100 3.517
Cu Fe Sb
2 1 1
direct
0.000 0.000 0.227
0.000 0.000 0.773
0.500 0.500 0.000
0.500 0.500 0.500
```

Computed properties:
Electronic total energy ... -5.2599 eV per atom
Mass density ... 8.81 Mg/m³
ΔE_f (raw) ... 0.287 eV/atom
DOS(E_F) ... 3.17 states/eV/cell



# 2
VASP calculation (PBEsol) on an optimized crystal structure of FeCuSb2Te.

Geometry as POSCAR:
```
FeCuSb2Te
1.0
4.718 0.000 0.000
0.000 4.718 0.000
0.000 0.000 5.192
Sb Fe Te Cu
2 1 1 1
direct
0.500 0.000 0.000
0.000 0.500 0.000
0.000 0.000 0.000
0.000 0.000 0.500
0.500 0.500 0.500
```

Computed properties:
Electronic total energy ... -4.5450 eV per atom
Mass density ... 7.05 Mg/m³
ΔE_f (raw) ... 0.643 eV/atom
DOS(E_F) ... 4.11 states/eV/cell